Entry A
Below is a relaxed CaRhCl3 crystal, with properties calculated at the PBE level.

Summary:
**Crystal system**: cubic

a = 4.8536 Å, b = 4.8536 Å, c = 4.8536 Å
α = 90.00°, β = 90.00°, γ = 90.00°
Fractional coordinates of all 5 atoms:
Ca1 0.5000 0.5000 0.5000
Cl1 0.0000 0.5000 0.0000
Cl2 0.0000 0.0000 0.5000
Cl3 0.5000 0.0000 0.0000
Rh1 0.0000 0.0000 0.0000

Entry B
Below is a relaxed CaRhCl3 crystal, with properties calculated at the PBE level.

Summary:
**Crystal system**: cubic

a = 5.2882 Å, b = 5.2882 Å, c = 5.2882 Å
α = 90.00°, β = 90.00°, γ = 90.00°
Fractional coordinates of all 5 atoms:
Rh1 0.5000 0.5000 0.5000
Cl1 0.0000 0.5000 0.0000
Cl2 0.5000 0.0000 0.0000
Cl3 0.0000 0.0000 0.5000
Ca1 0.0000 0.0000 0.0000

entry A (274 meV/atom below the next structure)

Entry A
Below is a relaxed CaRhCl2 crystal, with properties calculated at the PBE level.

Summary:
**Crystal system**: tetragonal

a = 6.1345 Å, b = 6.1345 Å, c = 6.1345 Å
α = 143.88°, β = 143.88°, γ = 52.01°
Fractional coordinates of all 4 atoms:
Rh1 0.5000 0.5000 0.0000
Cl1 0.2500 0.7500 0.5000
Cl2 0.0000 0.0000 0.0000
Ca1 0.7500 0.2500 0.5000

Entry B
Below is a relaxed CaRhCl2 crystal, with properties calculated at the PBE level.

Summary:
**Crystal system**: trigonal

a = 5.3854 Å, b = 5.3854 Å, c = 5.3854 Å
α = 48.06°, β = 48.06°, γ = 48.06°
Fractional coordinates of all 4 atoms:
Ca1 0.7500 0.7500 0.7500
Rh1 0.2500 0.2500 0.2500
Cl1 0.5112 0.5112 0.5112
Cl2 0.9888 0.9888 0.9888

Entry C
Below is a relaxed CaRhCl2 crystal, with properties calculated at the PBE level.

Summary:
**Crystal system**: orthorhombic

a = 3.9977 Å, b = 4.7115 Å, c = 4.7122 Å
α = 86.77°, β = 90.00°, γ = 90.00°
Fractional coordinates of all 4 atoms:
Cl1 0.0000 0.0242 0.0243
Cl2 0.0000 0.4758 0.4757
Rh1 0.5000 0.2500 0.2500
Ca1 0.5000 0.7500 0.7500

entry C (56 meV/atom below the next structure)

Entry A
Below is a relaxed CaRhSCl2 crystal, with properties calculated at the PBE level.

Summary:
**Crystal system**: tetragonal

a = 4.7406 Å, b = 4.7406 Å, c = 4.8590 Å
α = 90.00°, β = 90.00°, γ = 90.00°
Fractional coordinates of all 5 atoms:
S1 0.0000 0.0000 0.5000
Cl1 0.0000 0.5000 0.0000
Cl2 0.5000 0.0000 0.0000
Rh1 0.0000 0.0000 0.0000
Ca1 0.5000 0.5000 0.5000

Entry B
Below is a relaxed CaRhSCl2 crystal, with properties calculated at the PBE level.

Summary:
**Crystal system**: tetragonal

a = 5.1586 Å, b = 5.1586 Å, c = 5.5422 Å
α = 90.00°, β = 90.00°, γ = 90.00°
Fractional coordinates of all 5 atoms:
S1 0.0000 0.0000 0.5000
Rh1 0.5000 0.5000 0.5000
Cl1 0.5000 0.0000 0.0000
Cl2 0.0000 0.5000 0.0000
Ca1 0.0000 0.0000 0.0000

entry A (721 meV/atom below the next structure)

Entry A
Below is a relaxed CaRuCl2 crystal, with properties calculated at the PBE level.

Summary:
**Crystal system**: orthorhombic

a = 3.3490 Å, b = 5.8909 Å, c = 4.2002 Å
α = 90.00°, β = 90.00°, γ = 90.00°
Fractional coordinates of all 4 atoms:
Ru1 0.5000 0.0000 0.5000
Cl1 0.5000 0.5000 0.0000
Cl2 0.0000 0.0000 0.0000
Ca1 0.0000 0.5000 0.5000

Entry B
Below is a relaxed CaRuCl2 crystal, with properties calculated at the PBE level.

Summary:
**Crystal system**: tetragonal

a = 3.2430 Å, b = 3.2430 Å, c = 11.0072 Å
α = 90.00°, β = 90.00°, γ = 90.00°
Fractional coordinates of all 4 atoms:
Ca1 0.5000 0.5000 0.7500
Cl1 0.0000 0.0000 0.8962
Cl2 0.0000 0.0000 0.6038
Ru1 0.5000 0.5000 0.2500

entry A (56 meV/atom below the next structure)